PtW2Se, relaxed, DFT PBE; magnetic moment = 0.000 μB/atom; DOS(E_F) = 3.8 states/eV/f.u.; formation energy (no corrections) = 971.2 meV per atom
1.0
-2.8840 2.8840 5.5299
2.8840 -2.8840 5.5299
2.8840 2.8840 -5.5299
Pt W Se
2 4 2
direct
0.0000 0.0000 0.0000 Pt
0.7500 0.2500 0.5000 Pt
0.1191 0.6250 0.9941 W
0.3750 0.3691 0.4941 W
0.6309 0.1250 0.0059 W
0.8750 0.8809 0.5059 W
0.2500 0.7500 0.5000 Se
0.5000 0.5000 0.0000 Se